(1)
A crystal of TcTePb2 relaxed with PBEsol. Source: Alexandria, functional SCAN.

Geometry as POSCAR:
```
TcTePb2
1.0
3.284 0.230 0.000
-0.229 3.284 0.000
0.000 0.000 8.726
Te Pb Tc
1 2 1
direct
0.500 0.500 0.000
0.000 0.000 0.306
0.000 0.000 0.694
0.500 0.500 0.500
```

As for the density of states at the Fermi level: 3.487 states/eV/cell. The space group is P4/mmm (123).


(2)
A crystal of MnW2Se relaxed with PBEsol. Source: Alexandria, functional SCAN.

Geometry as POSCAR:
```
MnW2Se
1.0
2.941 0.000 0.000
1.471 2.547 0.000
1.471 0.849 8.025
W Se Mn
2 1 1
direct
0.996 0.996 0.012
0.757 0.757 0.730
0.248 0.248 0.255
0.499 0.499 0.503
```

As for the density of states at the Fermi level: 3.551 states/eV/cell. The space group is R3m (160).


Number 1: uncorrected formation energy 523 meV per atom. Number 2: uncorrected formation energy 419 meV per atom.